Entry from the Alexandria database: a relaxed MgHBr2 crystal (PBEsol).

```
MgHBr2
1.0
-3.5323 3.5323 4.2830
3.5323 -3.5323 4.2830
3.5323 3.5323 -4.2830
Mg H Br
2 2 4
Cartesian
0.0000 0.0000 0.0000
0.0000 3.5323 2.1415
3.5323 0.0000 2.1415
0.0000 0.0000 4.2830
1.7661 1.4412 -1.0707
2.0911 -1.7661 5.3537
1.7661 2.0911 3.2122
1.4412 5.2984 1.0707
```

## Properties
space-group type: I-42d (122)
uncorrected energy: -2.631 eV/atom

Entry from the Alexandria database: a relaxed MgZn2H12Br6O6 crystal (PBEsol).

```
MgZn2H12Br6O6
1.0
-3.7597 5.0243 5.3965
3.7597 -5.0243 5.3965
3.7597 5.0243 -5.3965
Mg Zn H Br O
1 2 12 6 6
Cartesian
0.0000 0.0000 0.0000
3.7597 0.0000 3.7724
0.0000 5.0243 1.6241
2.0488 1.5996 -0.7836
5.4707 1.5996 -0.7836
3.7597 4.2127 -2.7836
2.0488 1.5996 0.7836
5.4707 1.5996 0.7836
0.0000 0.8117 2.6129
3.7597 4.2127 2.7836
-1.7109 3.4248 4.6129
1.7109 3.4248 4.6129
0.0000 0.8117 8.1801
-1.7109 3.4248 6.1801
1.7109 3.4248 6.1801
3.7597 -1.9100 2.3275
3.7597 1.9100 2.3275
1.8315 5.0243 0.0000
1.9282 0.0000 5.3965
0.0000 3.1143 3.0690
0.0000 6.9344 3.0690
1.4607 1.4701 0.0000
6.0588 1.4701 0.0000
0.0000 0.0000 2.0537
0.0000 0.0000 8.7393
-2.2991 3.5543 5.3965
2.2991 3.5543 5.3965
```

## Properties
space-group type: Immm (71)
uncorrected energy: -4.312 eV/atom

Entry from the Alexandria database: a relaxed MgHSeBr2 crystal (PBEsol).

```
MgHSeBr2
1.0
5.2188 0.0000 0.0000
0.0000 5.2188 0.0000
0.0000 0.0000 5.2346
Mg H Se Br
1 1 1 2
Cartesian
0.0000 0.0000 0.0000
2.6094 2.6094 2.6173
0.0000 0.0000 2.6173
0.0000 2.6094 0.0000
2.6094 0.0000 0.0000
```

## Properties
space-group type: P4/mmm (123)
uncorrected energy: -2.373 eV/atom

Entry from the Alexandria database: a relaxed MnHBr2 crystal (PBEsol).

```
MnHBr2
1.0
1.7866 1.0315 7.3126
-1.7866 1.0315 7.3126
0.0000 -2.0630 7.3126
Mn H Br
1 1 2
Cartesian
0.0000 0.0000 0.0000
0.0000 0.0000 10.9689
0.0000 0.0000 2.2937
0.0000 0.0000 19.6440
```

## Properties
space-group type: R-3m (166)
uncorrected energy: -3.741 eV/atom

Entry from the Alexandria database: a relaxed Mn2HBr crystal (PBEsol).

```
Mn2HBr
1.0
0.0000 2.7426 2.7426
2.7426 0.0000 2.7426
2.7426 2.7426 0.0000
Mn H Br
2 1 1
Cartesian
1.3713 1.3713 1.3713
4.1139 4.1139 4.1139
0.0000 0.0000 0.0000
2.7426 2.7426 2.7426
```

## Properties
space-group type: Fm-3m (225)
offset from the most stable computed form: 63.3 kJ/mol of atoms

Entry from the Alexandria database: a relaxed Mn2HBr crystal (PBEsol).

```
Mn2HBr
1.0
-2.9879 2.9879 3.0703
2.9879 -2.9879 3.0703
2.9879 2.9879 -3.0703
Mn H Br
4 2 2
Cartesian
1.4940 0.7692 -0.7676
2.2187 -1.4940 3.8378
1.4940 2.2187 2.3027
0.7692 4.4819 0.7676
0.0000 0.0000 0.0000
0.0000 2.9879 1.5351
2.9879 0.0000 1.5351
0.0000 0.0000 3.0703
```

## Properties
space-group type: I-42d (122)
offset from the most stable computed form: 0.0 kJ/mol of atoms

Copy entry 5 word for word.
Entry from the Alexandria database: a relaxed Mn2HBr crystal (PBEsol).

```
Mn2HBr
1.0
0.0000 2.7426 2.7426
2.7426 0.0000 2.7426
2.7426 2.7426 0.0000
Mn H Br
2 1 1
Cartesian
1.3713 1.3713 1.3713
4.1139 4.1139 4.1139
0.0000 0.0000 0.0000
2.7426 2.7426 2.7426
```

## Properties
space-group type: Fm-3m (225)
offset from the most stable computed form: 63.3 kJ/mol of atoms